# 1
# Cr3SnW

Cr3SnW after structural relaxation (PBE, Alexandria via LeMat-Bulk).

Results
total energy	-35.28	eV per formula unit
ΔE_f	2.1102	eV per atom
distance to the lowest polymorph of the same formula	748	meV per atom
spin magnetization	1.567	μB per atom

abc: 4.8948 4.8948 4.8948
angles: 90.00 90.00 90.00
With the nearest neighbours (Å) after each atom.
Sites, in units of the cell vectors:
Cr: 0.0000 0.0000 0.5000  2 Sn 2.45
Cr: 0.0000 0.5000 0.0000  2 Sn 2.45
Cr: 0.5000 0.0000 0.0000  2 Sn 2.45
Sn: 0.0000 0.0000 0.0000  6 Cr 2.45
W: 0.5000 0.5000 0.5000  12 Cr 3.46

# 2
# CrSn3W

CrSn3W after structural relaxation (PBE, Alexandria via LeMat-Bulk).

Results
total energy	-28.39	eV per formula unit
ΔE_f	1.2385	eV per atom
spin magnetization	1.200	μB per atom

abc: 5.0226 5.0226 5.0226
angles: 90.00 90.00 90.00
With the nearest neighbours (Å) after each atom.
Sites, in units of the cell vectors:
Cr: 0.0000 0.0000 0.0000  6 Sn 2.51
Sn: 0.0000 0.0000 0.5000  2 Cr 2.51
Sn: 0.0000 0.5000 0.0000  2 Cr 2.51
Sn: 0.5000 0.0000 0.0000  2 Cr 2.51
W: 0.5000 0.5000 0.5000  12 Sn 3.55

# 3
# Cr4SnW

Cr4SnW after structural relaxation (PBE, Alexandria via LeMat-Bulk).

Results
total energy	-54.51	eV per formula unit
ΔE_f	0.1563	eV per atom
spin magnetization	0.000	μB per atom

abc: 4.8769 4.8769 4.8769
angles: 60.00 60.00 60.00
With the nearest neighbours (Å) after each atom.
Sites, in units of the cell vectors:
Cr: 0.1251 0.1251 0.1251  6 Cr 2.44
Cr: 0.1251 0.1251 0.6247  6 Cr 2.44
Cr: 0.1251 0.6247 0.1251  6 Cr 2.44
Cr: 0.6247 0.1251 0.1251  6 Cr 2.44
Sn: 0.7500 0.7500 0.7500  12 Cr 2.86, 4 W 2.99
W: 0.5000 0.5000 0.5000  12 Cr 2.86, 4 Sn 2.99

# 4
# CrSn2W2

CrSn2W2 after structural relaxation (PBE, Alexandria via LeMat-Bulk).

Results
total energy	-39.45	eV per formula unit
ΔE_f	0.8162	eV per atom
distance to the lowest polymorph of the same formula	0	meV per atom
spin magnetization	0.699	μB per atom

abc: 7.8966 7.8966 3.1572
angles: 90.00 90.00 90.00
With the nearest neighbours (Å) after each atom.
Sites, in units of the cell vectors:
Cr: 0.0000 0.0000 0.0000  4 Sn 2.91, 2 Cr 3.16
Cr: 0.5000 0.5000 0.0000  4 Sn 2.91, 2 Cr 3.16
Sn: 0.1779 0.3221 0.0000  6 W 2.81-2.84, 2 Cr 2.91
Sn: 0.3221 0.8221 0.0000  6 W 2.81-2.84, 2 Cr 2.91
Sn: 0.6779 0.1779 0.0000  6 W 2.81-2.84, 2 Cr 2.91
Sn: 0.8221 0.6779 0.0000  6 W 2.81-2.84, 2 Cr 2.91
W: 0.1135 0.6135 0.5000  1 W 2.53, 6 Sn 2.81-2.84
W: 0.3865 0.1135 0.5000  1 W 2.53, 6 Sn 2.81-2.84
W: 0.6135 0.8865 0.5000  1 W 2.53, 6 Sn 2.81-2.84
W: 0.8865 0.3865 0.5000  1 W 2.53, 6 Sn 2.81-2.84

# 5
# Cr2SnW

Cr2SnW after structural relaxation (PBE, Alexandria via LeMat-Bulk).

Results
total energy	-32.39	eV per formula unit
ΔE_f	0.9531	eV per atom
spin magnetization	1.014	μB per atom

abc: 7.1552 7.1552 5.5363
angles: 90.00 90.00 90.00
With the nearest neighbours (Å) after each atom.
Sites, in units of the cell vectors:
Cr: 0.2085 0.2500 0.1250  2 W 2.43
Cr: 0.2500 0.7085 0.3750  2 W 2.43
Cr: 0.2500 0.7915 0.8750  2 W 2.43
Cr: 0.2915 0.2500 0.6250  2 W 2.43
Cr: 0.7085 0.7500 0.6250  2 W 2.43
Cr: 0.7500 0.2085 0.8750  2 W 2.43
Cr: 0.7500 0.2915 0.3750  2 W 2.43
Cr: 0.7915 0.7500 0.1250  2 W 2.43
Sn: 0.0000 0.0000 0.5000  2 W 2.77, 4 Cr 2.83
Sn: 0.0000 0.5000 0.7500  2 W 2.77, 4 Cr 2.83
Sn: 0.5000 0.0000 0.2500  2 W 2.77, 4 Cr 2.83
Sn: 0.5000 0.5000 0.0000  2 W 2.77, 4 Cr 2.83
W: 0.0000 0.0000 0.0000  4 Cr 2.43
W: 0.0000 0.5000 0.2500  4 Cr 2.43
W: 0.5000 0.0000 0.7500  4 Cr 2.43
W: 0.5000 0.5000 0.5000  4 Cr 2.43

# 6
# Y2CrSnW

Y2CrSnW after structural relaxation (PBE, Alexandria via LeMat-Bulk).

Results
total energy	-36.72	eV per formula unit
ΔE_f	0.5575	eV per atom
spin magnetization	0.000	μB per atom

abc: 5.3050 5.3050 4.3977
angles: 90.00 90.00 90.00
With the nearest neighbours (Å) after each atom.
Sites, in units of the cell vectors:
Y: 0.0000 0.5000 0.0000  2 Cr 2.65
Y: 0.5000 0.0000 0.0000  2 Cr 2.65
Cr: 0.0000 0.0000 0.0000  2 W 2.20
Sn: 0.5000 0.5000 0.5000  8 Y 3.45, 4 W 3.75
W: 0.0000 0.0000 0.5000  2 Cr 2.20

# 7
# YCrSn2

YCrSn2 after structural relaxation (PBE, Alexandria via LeMat-Bulk).

Results
total energy	-23.46	eV per formula unit
ΔE_f	0.1595	eV per atom
distance to the lowest polymorph of the same formula	3	meV per atom
spin magnetization	0.000	μB per atom

abc: 6.9905 6.9905 6.9905
angles: 90.00 90.00 90.00
With the nearest neighbours (Å) after each atom.
Sites, in units of the cell vectors:
Y: 0.0000 0.0000 0.0000  8 Sn 3.03
Y: 0.0000 0.5000 0.5000  8 Sn 3.03
Y: 0.5000 0.0000 0.5000  8 Sn 3.03
Y: 0.5000 0.5000 0.0000  8 Sn 3.03
Cr: 0.0000 0.0000 0.5000  8 Sn 3.03
Cr: 0.0000 0.5000 0.0000  8 Sn 3.03
Cr: 0.5000 0.0000 0.0000  8 Sn 3.03
Cr: 0.5000 0.5000 0.5000  8 Sn 3.03
Sn: 0.2500 0.2500 0.2500  4 Cr 3.03, 4 Y 3.03
Sn: 0.2500 0.2500 0.7500  4 Cr 3.03, 4 Y 3.03
Sn: 0.2500 0.7500 0.2500  4 Cr 3.03, 4 Y 3.03
Sn: 0.2500 0.7500 0.7500  4 Cr 3.03, 4 Y 3.03
Sn: 0.7500 0.2500 0.2500  4 Cr 3.03, 4 Y 3.03
Sn: 0.7500 0.2500 0.7500  4 Cr 3.03, 4 Y 3.03
Sn: 0.7500 0.7500 0.2500  4 Cr 3.03, 4 Y 3.03
Sn: 0.7500 0.7500 0.7500  4 Cr 3.03, 4 Y 3.03

# 8
# Y2CrSn2

Y2CrSn2 after structural relaxation (PBE, Alexandria via LeMat-Bulk).

Results
total energy	-32.66	eV per formula unit
ΔE_f	-0.4199	eV per atom
spin magnetization	0.755	μB per atom

abc: 7.3376 7.3376 4.6813
angles: 90.00 90.00 90.00
With the nearest neighbours (Å) after each atom.
Sites, in units of the cell vectors:
Y: 0.1710 0.3290 0.0000  6 Sn 3.05-3.28
Y: 0.3290 0.8290 0.0000  6 Sn 3.05-3.28
Y: 0.6710 0.1710 0.0000  6 Sn 3.05-3.28
Y: 0.8290 0.6710 0.0000  6 Sn 3.05-3.28
Cr: 0.0000 0.0000 0.5000  4 Sn 2.83
Cr: 0.5000 0.5000 0.5000  4 Sn 2.83
Sn: 0.1398 0.6398 0.5000  2 Cr 2.83, 1 Sn 2.90, 2 Y 3.05
Sn: 0.3602 0.1398 0.5000  2 Cr 2.83, 1 Sn 2.90, 2 Y 3.05
Sn: 0.6398 0.8602 0.5000  2 Cr 2.83, 1 Sn 2.90, 2 Y 3.05
Sn: 0.8602 0.3602 0.5000  2 Cr 2.83, 1 Sn 2.90, 2 Y 3.05